Entry 1:
A plane-wave DFT calculation with GGA-PBE was carried out for crystalline OsBr6Cl2 at its relaxed geometry.

CIF file:
```
data_OsBr6Cl2
_chemical_formula_sum 'Os2 Br12 Cl4'
_symmetry_space_group_name_H-M 'P 1 21/c 1'
_symmetry_Int_Tables_number 14
_cell_length_a 7.8412
_cell_length_b 7.7892
_cell_length_c 11.7163
_cell_angle_alpha 90.00
_cell_angle_beta 114.74
_cell_angle_gamma 90.00
loop_
_symmetry_equiv_pos_as_xyz
'x,y,z'
'-x,-y,-z'
'-x,y+1/2,-z+1/2'
'x,-y+1/2,z+1/2'
loop_
_atom_site_label
_atom_site_fract_x
_atom_site_fract_y
_atom_site_fract_z
_atom_site_occupancy
Os1 0.0000 0.0000 0.0000 1
Br1 0.1744 0.2200 0.5370 1
Br2 0.2858 0.6702 0.5203 1
Br3 0.4505 0.1959 0.7545 1
Cl1 0.0721 0.5291 0.7097 1
```

Summary:
**E_tot**: -52.28 eV/cell
**M_tot**: 4.013 Bohr magnetons per cell
**Density of states at the Fermi level**: 5.04 states/eV per cell

---

Entry 2:
A plane-wave DFT calculation with GGA-PBE was carried out for crystalline La8PrY6 at its relaxed geometry.

CIF file:
```
data_La8PrY6
_chemical_formula_sum 'La8 Pr1 Y6'
_symmetry_space_group_name_H-M 'P -3'
_symmetry_Int_Tables_number 147
_cell_length_a 9.5210
_cell_length_b 9.5210
_cell_length_c 6.7271
_cell_angle_alpha 90.00
_cell_angle_beta 90.00
_cell_angle_gamma 120.00
loop_
_symmetry_equiv_pos_as_xyz
'x,y,z'
'-x,-y,-z'
'-y,x-y,z'
'y,-x+y,-z'
'-x+y,-x,z'
'x-y,x,-z'
loop_
_atom_site_label
_atom_site_fract_x
_atom_site_fract_y
_atom_site_fract_z
_atom_site_occupancy
La1 0.0484 0.2930 0.3318 1
La2 0.3333 0.6667 0.3784 1
Pr1 0.0000 0.0000 0.0000 1
Y1 0.0997 0.4406 0.8451 1
```

Summary:
**E_tot**: -80.58 eV/cell
**M_tot**: 0.000 Bohr magnetons per cell
**Density of states at the Fermi level**: 27.22 states/eV per cell

---

Entry 3:
A plane-wave DFT calculation with GGA-PBE was carried out for crystalline ZnOsBr2 at its relaxed geometry.

CIF file:
```
data_ZnOsBr2
_chemical_formula_sum 'Zn1 Os1 Br2'
_symmetry_space_group_name_H-M 'P 1 m 1'
_symmetry_Int_Tables_number 6
_cell_length_a 4.0247
_cell_length_b 3.1901
_cell_length_c 7.7712
_cell_angle_alpha 90.00
_cell_angle_beta 104.93
_cell_angle_gamma 90.00
loop_
_symmetry_equiv_pos_as_xyz
'x,y,z'
'x,-y,z'
loop_
_atom_site_label
_atom_site_fract_x
_atom_site_fract_y
_atom_site_fract_z
_atom_site_occupancy
Zn1 0.0000 0.0000 0.0000 1
Os1 0.5349 0.5000 0.0702 1
Br1 0.3699 0.5000 0.7416 1
Br2 0.6626 0.0000 0.3253 1
```

Summary:
**Relative energy among the computed polymorphs**: 0.00 eV per formula unit
**M_tot**: 0.000 Bohr magnetons per cell
**Density of states at the Fermi level**: 1.71 states/eV per cell

---

Entry 4:
A plane-wave DFT calculation with GGA-PBE was carried out for crystalline LaNiW2 at its relaxed geometry.

CIF file:
```
data_LaNiW2
_chemical_formula_sum 'La2 Ni2 W4'
_symmetry_space_group_name_H-M 'C m m m'
_symmetry_Int_Tables_number 65
_symmetry_space_group_name_Hall '-C 2 2'
_cell_length_a 4.9548
_cell_length_b 7.0730
_cell_length_c 4.6891
_cell_angle_alpha 90.00
_cell_angle_beta 90.00
_cell_angle_gamma 90.00
loop_
_atom_site_label
_atom_site_fract_x
_atom_site_fract_y
_atom_site_fract_z
_atom_site_occupancy
La1 0.0000 0.0000 0.0000 1
Ni1 0.0000 0.5000 0.0000 1
W1 0.0000 0.3270 0.5000 1
```

Summary:
**Relative energy among the computed polymorphs**: 1.06 eV per formula unit
**M_tot**: 0.000 Bohr magnetons per cell
**Density of states at the Fermi level**: 8.72 states/eV per cell

---

Entry 5:
A plane-wave DFT calculation with GGA-PBE was carried out for crystalline Tl3Te at its relaxed geometry.

CIF file:
```
data_Tl3Te
_chemical_formula_sum 'Tl6 Te2'
_symmetry_space_group_name_H-M 'C m m m'
_symmetry_Int_Tables_number 65
_symmetry_space_group_name_Hall '-C 2 2'
_cell_length_a 7.3512
_cell_length_b 10.4145
_cell_length_c 3.3468
_cell_angle_alpha 90.00
_cell_angle_beta 90.00
_cell_angle_gamma 90.00
loop_
_atom_site_label
_atom_site_fract_x
_atom_site_fract_y
_atom_site_fract_z
_atom_site_occupancy
Tl1 0.0000 0.0000 0.0000 1
Tl2 0.2500 0.2500 0.5000 1
Te1 0.0000 0.5000 0.0000 1
```

Summary:
**Relative energy among the computed polymorphs**: 0.40 eV per formula unit
**M_tot**: 0.000 Bohr magnetons per cell
**Density of states at the Fermi level**: 3.39 states/eV per cell

---

Entry 6:
A plane-wave DFT calculation with GGA-PBE was carried out for crystalline CdBPt3 at its relaxed geometry.

CIF file:
```
data_CdBPt3
_chemical_formula_sum 'Cd2 B2 Pt6'
_symmetry_space_group_name_H-M 'P -6 2 m'
_symmetry_Int_Tables_number 189
_symmetry_space_group_name_Hall 'P -6 -2'
_cell_length_a 5.5902
_cell_length_b 5.5902
_cell_length_c 5.6455
_cell_angle_alpha 90.00
_cell_angle_beta 90.00
_cell_angle_gamma 120.00
loop_
_atom_site_label
_atom_site_fract_x
_atom_site_fract_y
_atom_site_fract_z
_atom_site_occupancy
Cd1 0.0000 0.0000 0.0000 1
Cd2 0.0000 0.0000 0.5000 1
B1 0.3333 0.6667 0.0000 1
Pt1 0.0000 0.4700 0.2559 1
```

Summary:
**Relative energy among the computed polymorphs**: 0.08 eV per formula unit
**M_tot**: 0.000 Bohr magnetons per cell
**Density of states at the Fermi level**: 2.75 states/eV per cell

---

Entry 7:
A plane-wave DFT calculation with GGA-PBE was carried out for crystalline K2H4Pt at its relaxed geometry.

CIF file:
```
data_K2H4Pt
_chemical_formula_sum 'K4 H8 Pt2'
_symmetry_space_group_name_H-M 'P 42/m n m'
_symmetry_Int_Tables_number 136
_symmetry_space_group_name_Hall '-P 4n 2n'
_cell_length_a 5.5774
_cell_length_b 5.5774
_cell_length_c 8.0907
_cell_angle_alpha 90.00
_cell_angle_beta 90.00
_cell_angle_gamma 90.00
loop_
_atom_site_label
_atom_site_fract_x
_atom_site_fract_y
_atom_site_fract_z
_atom_site_occupancy
K1 0.0000 0.5000 0.2500 1
H1 0.0000 0.0000 0.2056 1
H2 0.2109 0.2109 0.0000 1
Pt1 0.0000 0.0000 0.0000 1
```

Summary:
**E_tot**: -49.31 eV/cell
**M_tot**: 0.137 Bohr magnetons per cell
**Density of states at the Fermi level**: 0.00 states/eV per cell

---

Entry 8:
A plane-wave DFT calculation with GGA-PBE was carried out for crystalline CsRbSiTe3 at its relaxed geometry.

CIF file:
```
data_CsRbSiTe3
_chemical_formula_sum 'Cs4 Rb4 Si4 Te12'
_symmetry_space_group_name_H-M 'C 1 2/m 1'
_symmetry_Int_Tables_number 12
_cell_length_a 10.4398
_cell_length_b 11.2195
_cell_length_c 10.9449
_cell_angle_alpha 90.00
_cell_angle_beta 91.40
_cell_angle_gamma 90.00
loop_
_symmetry_equiv_pos_as_xyz
'x,y,z'
'-x,-y,-z'
'-x,y,-z'
'x,-y,z'
'x+1/2,y+1/2,z'
'-x+1/2,-y+1/2,-z'
'-x+1/2,y+1/2,-z'
'x+1/2,-y+1/2,z'
loop_
_atom_site_label
_atom_site_fract_x
_atom_site_fract_y
_atom_site_fract_z
_atom_site_occupancy
Cs1 0.1834 0.0000 0.1253 1
Rb1 0.0000 0.2550 0.5000 1
Si1 0.1809 0.0000 0.7111 1
Te1 0.1360 0.1849 0.8165 1
Te2 0.2492 0.0000 0.4996 1
```

Summary:
**E_tot**: -81.77 eV/cell
**M_tot**: 0.000 Bohr magnetons per cell

---

Q: Which formula does entry 2 have?
A: La8PrY6

---

Q: What is the M_tot in the first record?
A: 4.013 Bohr magnetons per cell

---

Q: Look up the M_tot of the fourth one.
A: 0.000 Bohr magnetons per cell